Record 1
Computed, not measured: crystalline La6Ho2Tl at its relaxed geometry at the PBE level of DFT.

Lattice parameters (Å, degrees): 6.2559 6.2553 17.1546 105.37 105.43 99.07
Positions (direct):
La 0.0212 0.6420 0.9148
La 0.9788 0.3580 0.0852
La 0.6415 0.0211 0.4146
La 0.0482 0.7713 0.3383
La 0.3566 0.1838 0.9676
La 0.2289 0.9514 0.1618
La 0.7711 0.0486 0.8382
La 0.6434 0.8162 0.0324
La 0.8160 0.6434 0.5323
La 0.9518 0.2287 0.6617
La 0.3585 0.9789 0.5854
La 0.1840 0.3566 0.4677
Tl 0.1716 0.8285 0.7500
Tl 0.8284 0.1715 0.2500
Ho 0.4409 0.4204 0.3233
Ho 0.5796 0.5583 0.1764
Ho 0.4204 0.4417 0.8236
Ho 0.5591 0.5796 0.6767

Calculated values
total moment = 0.000 μB per cell
crystal system = monoclinic
ΔE_f = 0.00 eV/atom

---

Record 2
Computed, not measured: crystalline KTiCd3 at its relaxed geometry at the PBE level of DFT.

Lattice parameters (Å, degrees): 5.7579 5.7579 5.7579 90.00 90.00 90.00
Each line ends with the local moment (μB).
Positions (direct):
Cd 0.0000 0.0000 0.5000  0.00
Cd 0.5000 0.0000 0.0000  0.01
Cd 0.0000 0.5000 0.0000  0.01
K 0.0000 0.0000 0.0000  0.01
Ti 0.5000 0.5000 0.5000  -0.10

Calculated values
total moment = 0.137 μB per cell
offset from the most stable computed form = 459.9 kJ/mol of formula units
crystal system = cubic
ΔE_f = 1.34 eV/atom

---

Record 3
Computed, not measured: crystalline Tb2Dy4Y3 at its relaxed geometry at the PBE level of DFT.

Lattice parameters (Å, degrees): 6.1414 11.2564 11.2564 61.96 61.80 61.80
Positions (direct):
Y 0.2524 0.2643 0.0686
Y 0.2476 0.9314 0.7357
Y 0.7524 0.0686 0.2643
Y 0.7500 0.4023 0.5977
Y 0.7476 0.7357 0.9314
Y 0.2500 0.5977 0.4023
Dy 0.4214 0.9049 0.1882
Dy 0.5786 0.0951 0.8118
Dy 0.5793 0.4277 0.1451
Dy 0.9214 0.1882 0.9049
Dy 0.0786 0.8118 0.0951
Dy 0.0793 0.1451 0.4277
Dy 0.9207 0.8549 0.5723
Dy 0.4207 0.5723 0.8549
Tb 0.5786 0.7627 0.4782
Tb 0.9214 0.5218 0.2373
Tb 0.0786 0.4782 0.7627
Tb 0.4214 0.2373 0.5218

Calculated values
total moment = 0.000 μB per cell
crystal system = monoclinic
ΔE_f = 0.10 eV/atom

---

Record 4
Computed, not measured: crystalline SrAcGe2Pt2 at its relaxed geometry at the PBE level of DFT.

Lattice parameters (Å, degrees): 4.3589 4.3589 9.0379 90.00 90.00 120.00
Positions (direct):
Sr 0.0000 0.0000 0.5000
Pt 0.3333 0.6667 0.7538
Pt 0.6667 0.3333 0.2462
Ac 0.0000 0.0000 0.0000
Ge 0.3333 0.6667 0.2505
Ge 0.6667 0.3333 0.7495

Calculated values
total moment = 0.000 μB per cell
crystal system = trigonal
ΔE_f = -0.94 eV/atom

---

Record 5
Computed, not measured: crystalline CaNdSi2Pd5 at its relaxed geometry at the PBE level of DFT.

Lattice parameters (Å, degrees): 4.2345 4.2345 9.0419 90.00 90.00 90.00
Positions (direct):
Si 0.5000 0.5000 0.1325
Si 0.5000 0.5000 0.8675
Pd 0.5000 0.5000 0.5000
Pd 0.5000 0.0000 0.7363
Pd 0.0000 0.5000 0.2637
Pd 0.0000 0.5000 0.7363
Pd 0.5000 0.0000 0.2637
Ca 0.0000 0.0000 0.0000
Nd 0.0000 0.0000 0.5000

Calculated values
uncorrected formation energy = -80.0 kJ/mol of atoms
total moment = 0.000 μB per cell
crystal system = tetragonal

---

Record 6
Computed, not measured: crystalline BaRePb2 at its relaxed geometry at the PBE level of DFT.

Lattice parameters (Å, degrees): 3.7396 3.7396 8.2619 90.00 90.00 90.00
Each line ends with the local moment (μB).
Positions (direct):
Pb 0.0000 0.0000 0.0535  0.01
Pb 0.5000 0.5000 0.3034  -0.01
Ba 0.5000 0.5000 0.7189  0.05
Re 0.0000 0.0000 0.4242  0.39

Calculated values
total moment = 0.654 μB per cell
offset from the most stable computed form = 78.2 kJ/mol of formula units
crystal system = tetragonal
ΔE_f = 0.62 eV/atom

---

Record 7
Computed, not measured: crystalline SrAgBiPd2 at its relaxed geometry at the PBE level of DFT.

Lattice parameters (Å, degrees): 5.1588 6.1866 5.1588 90.00 90.00 90.00
Positions (direct):
Ag 0.5000 0.5000 0.5000
Sr 0.0000 0.5000 0.0000
Bi 0.0000 0.0000 0.0000
Pd 0.5000 0.0000 0.0000
Pd 0.0000 0.0000 0.5000

Calculated values
total moment = 0.000 μB per cell
crystal system = tetragonal
ΔE_f = 0.39 eV/atom

---

Record 8
Computed, not measured: crystalline Er5Hg2N at its relaxed geometry at the PBE level of DFT.

Lattice parameters (Å, degrees): 3.6261 10.1263 12.7935 90.00 90.00 100.31
Each line ends with the local moment (μB).
Positions (direct):
Er 0.6859 0.3719 0.5576  0.09
Er 0.6859 0.3719 0.9424  0.09
Er 0.0766 0.1531 0.1055  0.02
Er 0.3141 0.6281 0.4424  0.09
Er 0.0766 0.1531 0.3945  0.02
Er 0.3037 0.6074 0.7500  0.02
Er 0.6963 0.3926 0.2500  0.02
Er 0.9234 0.8469 0.6055  0.02
Er 0.9234 0.8469 0.8945  0.02
Er 0.3141 0.6281 0.0576  0.09
Hg 0.9244 0.8487 0.1394  0.00
Hg 0.0756 0.1513 0.8606  0.00
Hg 0.9244 0.8487 0.3606  0.00
Hg 0.0756 0.1513 0.6394  0.00
N 0.1313 0.2627 0.2500  0.00
N 0.8687 0.7373 0.7500  0.00

Calculated values
uncorrected formation energy = -35.6 kJ/mol of atoms
total moment = 0.631 μB per cell
crystal system = orthorhombic